This record from Alexandria describes a relaxed structure of ErMg2GaPd4. The functional is PBE.

Structure (POSCAR):
```
ErMg2GaPd4
1.0
2.291 1.323 7.506
-2.291 1.323 7.506
0.000 -2.646 7.506
Er Mg Ga Pd
1 2 1 4
Direct
0.000 0.000 0.000 Er
0.247 0.247 0.247 Mg
0.753 0.753 0.753 Mg
0.500 0.500 0.500 Ga
0.128 0.128 0.128 Pd
0.386 0.386 0.386 Pd
0.614 0.614 0.614 Pd
0.872 0.872 0.872 Pd
```

- space group = R-3m (166)
- energy relative to the elements (eV per atom) = -0.754
- M_tot (μB per formula unit) = 0.00